Entry 1:
Computed, not measured: crystalline Pr4Nd at its relaxed geometry at the PBE level of DFT.

Formation enthalpy at 0 K   0.5838 eV per atom
Polymorph energy (0 for the lowest one)   576 meV per atom
Space-group type   Pm-3m
Volume   207.32 Å³/cell

Cell lengths 5.9185, 5.9185, 5.9185 Å; angles 90.00, 90.00, 90.00 degrees
Element x y z (fractional)
Pr 0.0000 0.0000 0.0000
Pr 0.0000 0.5000 0.5000
Pr 0.5000 0.0000 0.5000
Pr 0.5000 0.5000 0.0000
Nd 0.5000 0.5000 0.5000

---

Entry 2:
Computed, not measured: crystalline Pr7Nd3 at its relaxed geometry at the PBE level of DFT.

Formation enthalpy at 0 K   0.0088 eV per atom
Polymorph energy (0 for the lowest one)   0 meV per atom
Space-group type   C2/m
Volume   358.99 Å³/cell

Cell lengths 9.8134, 9.8134, 7.4052 Å; angles 100.90, 100.90, 30.89 degrees
Element x y z (fractional)
Pr 0.0000 0.0000 0.0000
Pr 0.2000 0.2000 0.6004
Pr 0.3997 0.3997 0.1997
Pr 0.4000 0.4000 0.7000
Pr 0.6000 0.6000 0.3000
Pr 0.6003 0.6003 0.8003
Pr 0.8000 0.8000 0.3996
Nd 0.0000 0.0000 0.5000
Nd 0.2002 0.2002 0.1001
Nd 0.7998 0.7998 0.8999

---

Entry 3:
Computed, not measured: crystalline Pr2Nd5 at its relaxed geometry at the PBE level of DFT.

Formation enthalpy at 0 K   0.1165 eV per atom
Polymorph energy (0 for the lowest one)   19 meV per atom
Space-group type   R-3m
Volume   248.98 Å³/cell

Cell lengths 9.0685, 9.0685, 9.0685 Å; angles 37.60, 37.60, 37.60 degrees
Element x y z (fractional)
Pr 0.1358 0.1358 0.1358
Pr 0.8642 0.8642 0.8642
Nd 0.0000 0.0000 0.0000
Nd 0.2721 0.2721 0.2721
Nd 0.4155 0.4155 0.4155
Nd 0.5845 0.5845 0.5845
Nd 0.7279 0.7279 0.7279

---

Entry 4:
Computed, not measured: crystalline Pr7Nd3 at its relaxed geometry at the PBE level of DFT.

Formation enthalpy at 0 K   0.1561 eV per atom
Polymorph energy (0 for the lowest one)   147 meV per atom
Space-group type   P6_3mc
Volume   722.16 Å³/cell

Cell lengths 11.3370, 11.3370, 6.4880 Å; angles 90.00, 90.00, 120.00 degrees
Element x y z (fractional)
Pr 0.0555 0.5278 0.0000
Pr 0.1162 0.2325 0.8588
Pr 0.1162 0.8838 0.8588
Pr 0.2325 0.1162 0.3588
Pr 0.3333 0.6667 0.7711
Pr 0.4722 0.5278 0.0000
Pr 0.4722 0.9445 0.0000
Pr 0.5278 0.0555 0.5000
Pr 0.5278 0.4722 0.5000
Pr 0.6667 0.3333 0.2711
Pr 0.7675 0.8838 0.8588
Pr 0.8838 0.1162 0.3588
Pr 0.8838 0.7675 0.3588
Pr 0.9445 0.4722 0.5000
Nd 0.2137 0.4273 0.3756
Nd 0.2137 0.7863 0.3756
Nd 0.4273 0.2137 0.8756
Nd 0.5727 0.7863 0.3756
Nd 0.7863 0.2137 0.8756
Nd 0.7863 0.5727 0.8756

---

Entry 5:
Computed, not measured: crystalline Pr4Nd at its relaxed geometry at the PBE level of DFT.

Formation enthalpy at 0 K   0.0081 eV per atom
Polymorph energy (0 for the lowest one)   0 meV per atom
Space-group type   C2/m
Volume   180.32 Å³/cell

Cell lengths 3.7136, 3.7136, 15.2791 Å; angles 97.09, 97.09, 59.84 degrees
Element x y z (fractional)
Pr 0.1015 0.1015 0.3009
Pr 0.3014 0.3014 0.8998
Pr 0.6986 0.6986 0.1002
Pr 0.8985 0.8985 0.6991
Nd 0.5000 0.5000 0.5000

---

Entry 6:
Computed, not measured: crystalline Pr5Nd6 at its relaxed geometry at the PBE level of DFT.

Formation enthalpy at 0 K   0.1014 eV per atom
Polymorph energy (0 for the lowest one)   0 meV per atom
Space-group type   Immm
Volume   397.74 Å³/cell

Cell lengths 9.6361, 9.6361, 9.6361 Å; angles 145.18, 128.02, 64.09 degrees
Element x y z (fractional)
Pr 0.0000 0.0000 0.0000
Pr 0.1597 0.6597 0.5000
Pr 0.2996 0.2996 0.0000
Pr 0.7004 0.7004 0.0000
Pr 0.8403 0.3403 0.5000
Nd 0.1581 0.8630 0.2951
Nd 0.2944 0.5000 0.7944
Nd 0.4321 0.1370 0.2951
Nd 0.5679 0.8630 0.7049
Nd 0.7056 0.5000 0.2056
Nd 0.8419 0.1370 0.7049